Ba3Co5O12 | GGA+U | optimized geometry

Summary:
mass density	5506	kg/m3
energy	-5.8590	eV per atom

Geometry as CIF:
```
data_Ba3Co5O12
_chemical_formula_sum 'Ba12 Co20 O48'
_cell_length_a 11.209
_cell_length_b 11.209
_cell_length_c 11.209
_cell_angle_alpha 109.47
_cell_angle_beta 109.47
_cell_angle_gamma 109.47
_space_group_name_H-M_alt 'P 1'
_space_group_IT_number 1
loop_
_space_group_symop_operation_xyz
'x,y,z'
loop_
_atom_site_label
_atom_site_type_symbol
_atom_site_fract_x
_atom_site_fract_y
_atom_site_fract_z
Ba1 Ba 0.750 0.375 0.125
Ba2 Ba 0.875 0.750 0.125
Ba3 Ba 0.375 0.750 0.625
Ba4 Ba 0.250 0.125 0.375
Ba5 Ba 0.875 0.125 0.250
Ba6 Ba 0.375 0.625 0.250
Ba7 Ba 0.625 0.375 0.750
Ba8 Ba 0.125 0.875 0.750
Ba9 Ba 0.750 0.875 0.625
Ba10 Ba 0.625 0.250 0.375
Ba11 Ba 0.125 0.250 0.875
Ba12 Ba 0.250 0.625 0.875
Co1 Co 0.125 0.375 0.250
Co2 Co 0.000 0.500 0.000
Co3 Co 0.000 0.000 0.000
Co4 Co 0.375 0.250 0.125
Co5 Co 0.500 0.000 0.500
Co6 Co 0.500 0.500 0.000
Co7 Co 0.125 0.750 0.375
Co8 Co 0.750 0.125 0.875
Co9 Co 0.750 0.625 0.375
Co10 Co 0.375 0.125 0.750
Co11 Co 0.625 0.875 0.250
Co12 Co 0.500 0.500 0.500
Co13 Co 0.500 0.000 0.000
Co14 Co 0.000 0.000 0.500
Co15 Co 0.250 0.375 0.625
Co16 Co 0.250 0.875 0.125
Co17 Co 0.000 0.500 0.500
Co18 Co 0.875 0.250 0.625
Co19 Co 0.625 0.750 0.875
Co20 Co 0.875 0.625 0.750
O1 O 0.681 0.103 0.998
O2 O 0.317 0.498 0.395
O3 O 0.002 0.397 0.319
O4 O 0.498 0.181 0.103
O5 O 0.578 0.681 0.683
O6 O 0.002 0.605 0.183
O7 O 0.317 0.819 0.422
O8 O 0.105 0.922 0.103
O9 O 0.605 0.002 0.683
O10 O 0.681 0.578 0.183
O11 O 0.819 0.502 0.397
O12 O 0.817 0.895 0.998
O13 O 0.103 0.681 0.498
O14 O 0.397 0.395 0.078
O15 O 0.078 0.895 0.397
O16 O 0.422 0.103 0.605
O17 O 0.078 0.183 0.181
O18 O 0.502 0.683 0.105
O19 O 0.817 0.922 0.319
O20 O 0.103 0.422 0.105
O21 O 0.397 0.002 0.819
O22 O 0.605 0.603 0.422
O23 O 0.895 0.817 0.498
O24 O 0.819 0.317 0.922
O25 O 0.395 0.397 0.578
O26 O 0.105 0.183 0.502
O27 O 0.181 0.683 0.078
O28 O 0.183 0.078 0.681
O29 O 0.603 0.998 0.181
O30 O 0.897 0.578 0.895
O31 O 0.498 0.317 0.895
O32 O 0.578 0.897 0.395
O33 O 0.922 0.817 0.819
O34 O 0.922 0.105 0.603
O35 O 0.897 0.319 0.502
O36 O 0.183 0.105 0.002
O37 O 0.603 0.605 0.922
O38 O 0.395 0.998 0.317
O39 O 0.319 0.422 0.817
O40 O 0.181 0.498 0.603
O41 O 0.895 0.078 0.897
O42 O 0.683 0.181 0.578
O43 O 0.502 0.819 0.897
O44 O 0.998 0.395 0.817
O45 O 0.422 0.319 0.317
O46 O 0.998 0.603 0.681
O47 O 0.683 0.502 0.605
O48 O 0.319 0.897 0.002
```